Material: LiNbOsRh
Method: DFT, PBE-GGA
State: optimized geometry

Summary:
- E_tot: -31.33 eV/cell
- Magnetic moment: 0.00 μB per formula unit
- DOS(E_F): 3.343 states/eV/cell
- Symmetry: No. 216

Lattice parameters (Å, degrees): 4.356 4.356 4.356 60.00 60.00 60.00
Fractional positions:
Rh  0.750  0.750  0.750
Nb  0.000  0.000  0.000
Os  0.250  0.250  0.250
Li  0.500  0.500  0.500